La6In2CoC | GGA-PBE | optimized geometry

Properties
Total energy = -5.41 eV per atom
Energy relative to the elements = -0.275 eV/atom

Cell lengths 7.462, 7.478, 7.487 Å; angles 60.26, 60.79, 60.37 degrees
Positions (direct):
La 0.188 0.249 0.298
La 0.258 0.222 0.792
La 0.284 0.701 0.779
La 0.716 0.299 0.221
La 0.742 0.778 0.208
La 0.812 0.751 0.702
In 0.249 0.750 0.247
In 0.751 0.250 0.753
Co 0.500 0.000 0.500
C 0.000 0.500 0.000


LaInCo2C | GGA-PBE | optimized geometry

Properties
Polymorph energy (0 for the lowest one) = 0.0 kJ/mol of atoms
Total energy = -5.68 eV per atom
Energy relative to the elements = 0.536 eV/atom

Cell lengths 4.247, 4.247, 4.568 Å; angles 90.00, 90.00, 90.00 degrees
Positions (direct):
La 0.000 0.000 0.000
In 0.500 0.500 0.000
Co 0.000 0.500 0.500
Co 0.500 0.000 0.500
C 0.500 0.500 0.500


LaInCo2C | GGA-PBE | optimized geometry

Properties
Polymorph energy (0 for the lowest one) = 191.7 kJ/mol of atoms
Total energy = -3.70 eV per atom
Energy relative to the elements = 2.523 eV/atom

Cell lengths 4.405, 4.405, 5.834 Å; angles 90.00, 90.00, 90.00 degrees
Positions (direct):
La 0.000 0.000 0.000
In 0.000 0.000 0.500
Co 0.000 0.500 0.000
Co 0.500 0.000 0.000
C 0.500 0.500 0.500


InCoMoC2 | GGA-PBE | optimized geometry

Properties
Total energy = -4.80 eV per atom
Energy relative to the elements = 3.023 eV/atom

Cell lengths 4.122, 4.122, 4.707 Å; angles 90.00, 90.00, 90.00 degrees
Positions (direct):
In 0.000 0.000 0.000
Co 0.000 0.000 0.500
Mo 0.500 0.500 0.500
C 0.000 0.500 0.000
C 0.500 0.000 0.000


InCo2OsC | GGA-PBE | optimized geometry

Properties
Total energy = -7.31 eV per atom
Energy relative to the elements = 0.172 eV/atom

Cell lengths 3.929, 3.929, 4.020 Å; angles 90.00, 90.00, 90.00 degrees
Positions (direct):
In 0.000 0.000 0.000
Co 0.000 0.500 0.500
Co 0.500 0.000 0.500
Os 0.500 0.500 0.000
C 0.500 0.500 0.500


InCo2ReC | GGA-PBE | optimized geometry

Properties
Total energy = -6.86 eV per atom
Energy relative to the elements = 0.862 eV/atom

Cell lengths 3.782, 3.782, 4.606 Å; angles 90.00, 90.00, 90.00 degrees
Positions (direct):
In 0.000 0.000 0.000
Co 0.000 0.500 0.500
Co 0.500 0.000 0.500
Re 0.500 0.500 0.000
C 0.000 0.000 0.500


InCoRh2C | GGA-PBE | optimized geometry

Properties
Total energy = -6.84 eV per atom
Energy relative to the elements = -0.082 eV/atom

Cell lengths 4.145, 4.145, 3.823 Å; angles 90.00, 90.00, 90.00 degrees
Positions (direct):
In 0.000 0.000 0.000
Co 0.500 0.500 0.000
Rh 0.000 0.500 0.500
Rh 0.500 0.000 0.500
C 0.500 0.500 0.500


InCoRu2C | GGA-PBE | optimized geometry

Properties
Total energy = -7.46 eV per atom
Energy relative to the elements = 0.066 eV/atom

Cell lengths 4.115, 4.115, 3.840 Å; angles 90.00, 90.00, 90.00 degrees
Positions (direct):
In 0.000 0.000 0.000
Co 0.500 0.500 0.000
Ru 0.000 0.500 0.500
Ru 0.500 0.000 0.500
C 0.500 0.500 0.500


InCo2RuC | GGA-PBE | optimized geometry

Properties
Total energy = -7.05 eV per atom
Energy relative to the elements = 0.037 eV/atom

Cell lengths 3.886, 3.886, 4.051 Å; angles 90.00, 90.00, 90.00 degrees
Positions (direct):
In 0.000 0.000 0.000
Co 0.000 0.500 0.500
Co 0.500 0.000 0.500
Ru 0.500 0.500 0.000
C 0.500 0.500 0.500


InCo2TcC | GGA-PBE | optimized geometry

Properties
Total energy = -7.24 eV per atom
Energy relative to the elements = 0.072 eV/atom

Cell lengths 3.916, 3.916, 4.067 Å; angles 90.00, 90.00, 90.00 degrees
Positions (direct):
In 0.000 0.000 0.000
Co 0.000 0.500 0.500
Co 0.500 0.000 0.500
Tc 0.500 0.500 0.000
C 0.500 0.500 0.500


TlIn2CoC | GGA-PBE | optimized geometry

Properties
Total energy = -3.55 eV per atom
Energy relative to the elements = 1.287 eV/atom

Cell lengths 4.937, 4.937, 5.026 Å; angles 90.00, 90.00, 90.00 degrees
Positions (direct):
Tl 0.000 0.000 0.000
In 0.000 0.500 0.500
In 0.500 0.000 0.500
Co 0.000 0.000 0.500
C 0.500 0.500 0.000


Y2InCoC | GGA-PBE | optimized geometry

Properties
Total energy = -6.74 eV per atom
Energy relative to the elements = -0.344 eV/atom

Cell lengths 5.115, 5.115, 3.698 Å; angles 90.00, 90.00, 90.00 degrees
Positions (direct):
Y 0.000 0.500 0.000
Y 0.500 0.000 0.000
In 0.000 0.000 0.500
Co 0.500 0.500 0.500
C 0.500 0.500 0.000